CePu2Pa8: optimized geometry, PBE-GGA.

Structure (POSCAR):
```
CePu2Pa8
1.0
-4.419 4.001 1.402
-4.244 -4.909 -2.630
-1.404 -4.507 5.171
Pa Ce Pu
8 1 2
Cartesian
-5.359 -0.907 1.998 Pa
-4.708 -4.507 1.946 Pa
-7.829 -3.122 1.257 Pa
-2.238 -2.292 2.687 Pa
-6.705 -2.962 4.347 Pa
-2.698 0.537 0.954 Pa
-7.370 -5.951 2.990 Pa
-3.363 -2.452 -0.403 Pa
0.000 0.000 0.000 Ce
-4.855 1.518 1.689 Pu
-5.213 -6.932 2.255 Pu
```

Properties
DFT formation energy	0.254	eV per atom
DFT total energy	-107.8	eV/f.u.
crystal system	monoclinic
magnetic moment	0.0	μB per formula unit